[1]
# CsZnP2Se | the Alexandria database | PBE | optimized geometry
data_CsZnP2Se
_chemical_formula_sum 'Cs1 Zn1 P2 Se1'
_symmetry_space_group_name_H-M 'P 1'
_symmetry_Int_Tables_number 1
_cell_length_a 4.284
_cell_length_b 6.001
_cell_length_c 6.263
_cell_angle_alpha 80.83
_cell_angle_beta 88.90
_cell_angle_gamma 82.22
loop_
_symmetry_equiv_pos_as_xyz
'x,y,z'
loop_
_atom_site_label
_atom_site_fract_x
_atom_site_fract_y
_atom_site_fract_z
_atom_site_occupancy
Cs1 0.000 0.000 0.000 1
Zn1 0.434 0.688 0.541 1
P1 0.147 0.406 0.367 1
P2 0.957 0.537 0.652 1
Se1 0.516 0.094 0.486 1
# - Symmetry: P1, No. 1
# - Density of states at the Fermi level: 0.567 states/eV/atom
# - Relative energy among the computed polymorphs: 125 meV/atom
# - Formation energy from raw total energies: -264 meV/atom
# - Calculated volume: 31.49 A^3/atom

[2]
# CoGeAsPt | the Alexandria database | PBE | optimized geometry
data_CoGeAsPt
_chemical_formula_sum 'Co2 Ge2 As2 Pt2'
_symmetry_space_group_name_H-M 'P 1'
_symmetry_Int_Tables_number 1
_cell_length_a 8.152
_cell_length_b 3.151
_cell_length_c 5.990
_cell_angle_alpha 90.00
_cell_angle_beta 123.64
_cell_angle_gamma 90.00
loop_
_symmetry_equiv_pos_as_xyz
'x,y,z'
loop_
_atom_site_label
_atom_site_fract_x
_atom_site_fract_y
_atom_site_fract_z
_atom_site_occupancy
Co1 0.000 0.000 0.000 1
Co2 0.500 0.500 0.000 1
Ge1 0.434 0.000 0.650 1
Ge2 0.934 0.500 0.650 1
As1 0.315 0.000 0.059 1
As2 0.815 0.500 0.059 1
Pt1 0.148 0.500 0.473 1
Pt2 0.648 0.000 0.473 1
# - Symmetry: Cm, No. 8
# - Density of states at the Fermi level: 0.555 states/eV/atom
# - Relative energy among the computed polymorphs: 120 meV/atom
# - Calculated volume: 16.01 A^3/atom

[3]
# Cd3CuHg | the Alexandria database | PBE | optimized geometry
data_Cd3CuHg
_chemical_formula_sum 'Cd3 Cu1 Hg1'
_symmetry_space_group_name_H-M 'P 1'
_symmetry_Int_Tables_number 1
_cell_length_a 5.105
_cell_length_b 5.105
_cell_length_c 5.105
_cell_angle_alpha 90.00
_cell_angle_beta 90.00
_cell_angle_gamma 90.00
loop_
_symmetry_equiv_pos_as_xyz
'x,y,z'
loop_
_atom_site_label
_atom_site_fract_x
_atom_site_fract_y
_atom_site_fract_z
_atom_site_occupancy
Cd1 0.000 0.000 0.500 1
Cd2 0.000 0.500 0.000 1
Cd3 0.500 0.000 0.000 1
Cu1 0.000 0.000 0.000 1
Hg1 0.500 0.500 0.500 1
# - Symmetry: Pm-3m, No. 221
# - Density of states at the Fermi level: 0.373 states/eV/atom
# - Relative energy among the computed polymorphs: 60 meV/atom
# - Calculated volume: 26.61 A^3/atom

[4]
# RbPbAu | the Alexandria database | PBE | optimized geometry
data_RbPbAu
_chemical_formula_sum 'Rb2 Pb2 Au2'
_symmetry_space_group_name_H-M 'P 1'
_symmetry_Int_Tables_number 1
_cell_length_a 3.960
_cell_length_b 3.960
_cell_length_c 12.983
_cell_angle_alpha 90.00
_cell_angle_beta 90.00
_cell_angle_gamma 90.00
loop_
_symmetry_equiv_pos_as_xyz
'x,y,z'
loop_
_atom_site_label
_atom_site_fract_x
_atom_site_fract_y
_atom_site_fract_z
_atom_site_occupancy
Rb1 0.000 0.000 0.000 1
Rb2 0.500 0.500 0.500 1
Pb1 0.000 0.000 0.280 1
Pb2 0.500 0.500 0.780 1
Au1 0.000 0.000 0.704 1
Au2 0.500 0.500 0.204 1
# - Symmetry: I4mm, No. 107
# - Density of states at the Fermi level: 0.530 states/eV/atom
# - Relative energy among the computed polymorphs: 41 meV/atom
# - Calculated volume: 33.93 A^3/atom